No. 1
# CaSi2Ru4 PBE optimized geometry
# * uncorrected formation energy: -0.456 eV/atom
# * total moment: 0.000 μB/cell
# * DOS(E_F): 0.3037 states/eV per atom
data_CaSi2Ru4
_symmetry_space_group_name_H-M 'C m m m'
_symmetry_Int_Tables_number 65
_symmetry_space_group_name_Hall '-C 2 2'
_cell_length_a 3.991
_cell_length_b 14.083
_cell_length_c 3.968
_cell_angle_alpha 90.00
_cell_angle_beta 90.00
_cell_angle_gamma 90.00
loop_
_atom_site_label
_atom_site_fract_x
_atom_site_fract_y
_atom_site_fract_z
_atom_site_occupancy
Ca1 0.000 0.000 0.000 1
Si1 0.000 0.413 0.500 1
Ru1 0.000 0.187 0.500 1
Ru2 0.000 0.309 0.000 1

=====

No. 2
# Ca2SiRu PBE optimized geometry
# * uncorrected formation energy: -0.297 eV/atom
# * total moment: 0.000 μB/cell
# * DOS(E_F): 0.5672 states/eV per atom
data_Ca2SiRu
_symmetry_space_group_name_H-M 'P 4 m m'
_symmetry_Int_Tables_number 99
_symmetry_space_group_name_Hall 'P 4 -2'
_cell_length_a 3.260
_cell_length_b 3.260
_cell_length_c 8.472
_cell_angle_alpha 90.00
_cell_angle_beta 90.00
_cell_angle_gamma 90.00
loop_
_atom_site_label
_atom_site_fract_x
_atom_site_fract_y
_atom_site_fract_z
_atom_site_occupancy
Ca1 0.000 0.000 0.000 1
Ca2 0.500 0.500 0.396 1
Si1 0.500 0.500 0.756 1
Ru1 0.000 0.000 0.640 1

=====

No. 3
# CaSiRu4 PBE optimized geometry
# * uncorrected formation energy: 0.348 eV/atom
# * total moment: 0.025 μB/cell
# * DOS(E_F): 1.6826 states/eV per atom
data_CaSiRu4
_symmetry_space_group_name_H-M 'F -4 3 m'
_symmetry_Int_Tables_number 216
_symmetry_space_group_name_Hall 'F -4 2 3'
_cell_length_a 7.327
_cell_length_b 7.327
_cell_length_c 7.327
_cell_angle_alpha 90.00
_cell_angle_beta 90.00
_cell_angle_gamma 90.00
loop_
_atom_site_label
_atom_site_fract_x
_atom_site_fract_y
_atom_site_fract_z
_atom_site_occupancy
Ca1 0.000 0.000 0.000 1
Si1 0.250 0.250 0.250 1
Ru1 0.124 0.124 0.624 1

=====

No. 4
# CaSiRu2 PBE optimized geometry
# * uncorrected formation energy: -0.091 eV/atom
# * total moment: 0.000 μB/cell
# * DOS(E_F): 0.5531 states/eV per atom
data_CaSiRu2
_symmetry_space_group_name_H-M 'C 1 2/m 1'
_symmetry_Int_Tables_number 12
_symmetry_space_group_name_Hall '-C 2y'
_cell_length_a 8.716
_cell_length_b 3.027
_cell_length_c 5.420
_cell_angle_alpha 90.00
_cell_angle_beta 107.05
_cell_angle_gamma 90.00
loop_
_atom_site_label
_atom_site_fract_x
_atom_site_fract_y
_atom_site_fract_z
_atom_site_occupancy
Ca1 0.000 0.000 0.000 1
Si1 0.000 0.500 0.500 1
Ru1 0.217 0.000 0.676 1

=====

No. 5
# CaSiRu2 PBE optimized geometry
# * uncorrected formation energy: -0.020 eV/atom
# * total moment: 0.000 μB/cell
# * DOS(E_F): 1.0901 states/eV per atom
data_CaSiRu2
_symmetry_space_group_name_H-M 'P 1 m 1'
_symmetry_Int_Tables_number 6
_symmetry_space_group_name_Hall 'P -2y'
_cell_length_a 2.998
_cell_length_b 4.394
_cell_length_c 5.379
_cell_angle_alpha 90.00
_cell_angle_beta 106.04
_cell_angle_gamma 90.00
loop_
_atom_site_label
_atom_site_fract_x
_atom_site_fract_y
_atom_site_fract_z
_atom_site_occupancy
Ca1 0.000 0.000 0.000 1
Si1 0.368 0.500 0.734 1
Ru1 0.258 0.000 0.509 1
Ru2 0.685 0.500 0.365 1

=====

No. 6
# Ca2SiRu2 PBE optimized geometry
# * uncorrected formation energy: -0.235 eV/atom
# * total moment: 0.000 μB/cell
# * DOS(E_F): 1.2162 states/eV per atom
data_Ca2SiRu2
_symmetry_space_group_name_H-M 'P 4/m b m'
_symmetry_Int_Tables_number 127
_symmetry_space_group_name_Hall '-P 4 2ab'
_cell_length_a 6.410
_cell_length_b 6.410
_cell_length_c 4.734
_cell_angle_alpha 90.00
_cell_angle_beta 90.00
_cell_angle_gamma 90.00
loop_
_atom_site_label
_atom_site_fract_x
_atom_site_fract_y
_atom_site_fract_z
_atom_site_occupancy
Ca1 0.174 0.326 0.000 1
Si1 0.000 0.000 0.500 1
Ru1 0.140 0.640 0.500 1

=====

Question: Which value of uncorrected formation energy does entry 2 give?
Answer: -0.297 eV/atom

=====

Question: Which of these has the highest uncorrected formation energy?
Answer: CaSiRu4

=====

Question: What is the formula in the first record?
Answer: CaSi2Ru4

=====

Question: Look up the uncorrected formation energy of the third one.
Answer: 0.348 eV/atom